The following is a GGA-PBE calculation of a relaxed structure of SnTeRh, from Alexandria via LeMat-Bulk.

Output
The density of states at the Fermi level comes out at 1.57 states/eV per cell. The theoretical density is 8.37 g cm⁻³. The value obtained for the total magnetic moment is 0.00 μB per atom. Its calculated volume is 23.1 Å³ per atom. For the energy above the most stable polymorph in this dataset, the calculation gives 186.5 meV per atom. The energy relative to the elements, uncorrected comes out at -0.310 eV/atom.

Cell lengths 4.611, 4.611, 4.611 Å; angles 60.00, 60.00, 60.00 degrees
Positions (direct):
Sn 0.500 0.500 0.500
Te 0.000 0.000 0.000
Rh 0.250 0.250 0.250